1.
Tc2HgRu | PBE | relaxed

Output
Density of states at the Fermi level in states/eV per cell: 8.307
Electronic total energy in eV per atom: -7.05

a = 3.8381 Å, b = 3.8381 Å, c = 8.5040 Å
α = 90.00°, β = 90.00°, γ = 90.00°
With the nearest neighbours (Å) after each atom.
Sites, in units of the cell vectors:
Tc: 0.0000 0.5000 0.2500  4 Tc 2.71, 4 Hg 2.86, 4 Ru 2.86
Tc: 0.0000 0.5000 0.7500  4 Tc 2.71, 4 Hg 2.86, 4 Ru 2.86
Tc: 0.5000 0.0000 0.2500  4 Tc 2.71, 4 Hg 2.86, 4 Ru 2.86
Tc: 0.5000 0.0000 0.7500  4 Tc 2.71, 4 Hg 2.86, 4 Ru 2.86
Hg: 0.0000 0.0000 0.0000  4 Ru 2.71, 8 Tc 2.86
Hg: 0.5000 0.5000 0.5000  4 Ru 2.71, 8 Tc 2.86
Ru: 0.0000 0.0000 0.5000  4 Hg 2.71, 8 Tc 2.86
Ru: 0.5000 0.5000 0.0000  4 Hg 2.71, 8 Tc 2.86



2.
BeFeCl3 | PBE | relaxed

Output
Density of states at the Fermi level in states/eV per cell: 8.453
Electronic total energy in eV per atom: -3.23

a = 4.5808 Å, b = 4.5808 Å, c = 4.5808 Å
α = 90.00°, β = 90.00°, γ = 90.00°
With the nearest neighbours (Å) after each atom.
Sites, in units of the cell vectors:
Be: 0.0000 0.0000 0.0000  12 Cl 3.24
Fe: 0.5000 0.5000 0.5000  6 Cl 2.29
Cl: 0.0000 0.5000 0.5000  2 Fe 2.29
Cl: 0.5000 0.0000 0.5000  2 Fe 2.29
Cl: 0.5000 0.5000 0.0000  2 Fe 2.29



3.
SrMgSi | PBE | relaxed

Output
Density of states at the Fermi level in states/eV per cell: 3.497
Electronic total energy in eV per atom: -2.93

a = 3.5869 Å, b = 3.6205 Å, c = 12.0533 Å
α = 90.00°, β = 90.00°, γ = 90.00°
With the nearest neighbours (Å) after each atom.
Sites, in units of the cell vectors:
Sr: 0.0000 0.0000 0.0000  4 Si 3.32, 5 Mg 3.42-3.64, 4 Sr 3.59-3.62
Sr: 0.5000 0.5000 0.5000  4 Si 3.32, 5 Mg 3.42-3.64, 4 Sr 3.59-3.62
Mg: 0.0000 0.0000 0.2838  4 Si 2.86
Mg: 0.5000 0.5000 0.7838  4 Si 2.86
Si: 0.0000 0.0000 0.6770  4 Mg 2.86
Si: 0.5000 0.5000 0.1770  4 Mg 2.86



Repeat the first record exactly.
Tc2HgRu | PBE | relaxed

Output
Density of states at the Fermi level in states/eV per cell: 8.307
Electronic total energy in eV per atom: -7.05

a = 3.8381 Å, b = 3.8381 Å, c = 8.5040 Å
α = 90.00°, β = 90.00°, γ = 90.00°
With the nearest neighbours (Å) after each atom.
Sites, in units of the cell vectors:
Tc: 0.0000 0.5000 0.2500  4 Tc 2.71, 4 Hg 2.86, 4 Ru 2.86
Tc: 0.0000 0.5000 0.7500  4 Tc 2.71, 4 Hg 2.86, 4 Ru 2.86
Tc: 0.5000 0.0000 0.2500  4 Tc 2.71, 4 Hg 2.86, 4 Ru 2.86
Tc: 0.5000 0.0000 0.7500  4 Tc 2.71, 4 Hg 2.86, 4 Ru 2.86
Hg: 0.0000 0.0000 0.0000  4 Ru 2.71, 8 Tc 2.86
Hg: 0.5000 0.5000 0.5000  4 Ru 2.71, 8 Tc 2.86
Ru: 0.0000 0.0000 0.5000  4 Hg 2.71, 8 Tc 2.86
Ru: 0.5000 0.5000 0.0000  4 Hg 2.71, 8 Tc 2.86